The following is a GGA-PBE calculation of a relaxed CsMnMo2W crystal, from the Alexandria database.

Output
- Total energy: -7.1711 eV per atom
- Crystal system: tetragonal
- Formation energy from the elements: 1.76 eV/atom
- Space-group type: P4/mmm, No. 123
- Magnetization: 0.48 μB/f.u.
- DOS(E_F): 5.0 states/eV/f.u.

Unit cell a=4.957 b=4.957 c=5.236 alpha=90.00 beta=90.00 gamma=90.00
Atoms (fractional coordinates):
1 Cs 0.000 0.000 0.000
2 Mn 0.500 0.500 0.000
3 Mo 0.000 0.500 0.500
4 Mo 0.500 0.000 0.500
5 W 0.500 0.500 0.500